# 1
Density functional theory data (PBE-GGA) for BeFe2Cu after structural relaxation.

Lattice parameters (Å, degrees): 2.4796 3.3363 5.0014 90.00 90.00 90.00
Last column: nearest neighbours and their distance in Å.
Positions (direct):
Be  0.0000  0.0000  0.0000  4 Cu 2.37, 6 Fe 2.37-2.63, 2 Be 2.48
Fe  0.0000  0.0000  0.5259  6 Fe 2.33-2.48, 1 Be 2.37, 4 Cu 2.56
Fe  0.5000  0.5000  0.7355  6 Fe 2.33-2.48, 2 Cu 2.45-2.55, 4 Be 2.46
Cu  0.5000  0.5000  0.2261  4 Be 2.37, 6 Fe 2.45-2.56, 2 Cu 2.48

=====

# 2
Density functional theory data (PBE-GGA) for BeFe2Cu after structural relaxation.

Lattice parameters (Å, degrees): 4.3315 4.3315 2.4882 90.10 90.10 111.14
Last column: nearest neighbours and their distance in Å.
Positions (direct):
Be  0.0000  0.0000  0.0000  2 Cu 2.45, 2 Be 2.49, 8 Fe 2.50
Fe  0.0000  0.5000  0.5000  4 Fe 2.45-2.49, 4 Be 2.50, 4 Cu 2.50
Fe  0.5000  0.0000  0.5000  4 Fe 2.45-2.49, 4 Be 2.50, 4 Cu 2.50
Cu  0.5000  0.5000  0.0000  2 Be 2.45, 2 Cu 2.49, 8 Fe 2.50

=====

no.,total energy (eV/cell)
1,-24.374
2,-24.525